1.
Density functional theory data (PBE-GGA) for CsCr2NiPt after structural relaxation.

Computed properties:
E, eV per atom: -3.95
Space group: P4/mmm (123)
Energy of formation, eV per atom: 2.430

Structure (POSCAR):
```
CsCr2NiPt
1.0
-1.346 -4.858 -1.180
4.173 -0.725 -1.773
1.689 -1.592 4.628
Ni Cs Cr Pt
1 1 2 1
direct
0.000 0.500 0.000 Ni
0.000 0.000 0.000 Cs
0.500 0.000 0.000 Cr
0.000 0.000 0.500 Cr
0.500 0.500 0.500 Pt
```



2.
Density functional theory data (PBE-GGA) for CsCr2NiRu after structural relaxation.

Computed properties:
E, eV per atom: -5.86
Space group: P4/mmm (123)
Energy of formation, eV per atom: 1.176

Structure (POSCAR):
```
CsCr2NiRu
1.0
-4.630 1.454 -0.053
-1.392 -4.365 1.833
0.494 1.735 4.506
Ni Cr Cs Ru
1 2 1 1
direct
0.000 0.500 0.000 Ni
0.500 0.000 0.000 Cr
0.000 0.000 0.500 Cr
0.500 0.500 0.500 Cs
0.000 0.000 0.000 Ru
```



3.
Density functional theory data (PBE-GGA) for CsCrNiS3 after structural relaxation.

Computed properties:
E, eV per atom: -5.52
Space group: P2_1/m (11)

Structure (POSCAR):
```
CsCrNiS3
1.0
3.606 0.000 0.000
0.000 8.701 -0.238
0.000 -4.377 8.501
Cr Cs Ni S
2 2 2 6
direct
0.250 0.688 0.160 Cr
0.750 0.312 0.840 Cr
0.750 0.753 0.739 Cs
0.250 0.247 0.261 Cs
0.250 0.087 0.605 Ni
0.750 0.913 0.395 Ni
0.750 0.487 0.127 S
0.250 0.786 0.436 S
0.250 0.513 0.873 S
0.750 0.866 0.146 S
0.250 0.134 0.854 S
0.750 0.214 0.564 S
```



4.
Density functional theory data (PBE-GGA) for Cs2CrNiS4 after structural relaxation.

Computed properties:
E, eV per atom: -5.12
Space group: Fddd (70)

Structure (POSCAR):
```
Cs2CrNiS4
1.0
-4.151 0.151 3.233
-6.181 -2.738 -3.524
0.653 -11.276 5.650
S Cr Cs Ni
8 2 4 2
direct
0.274 0.828 0.099 S
0.549 0.328 0.599 S
0.627 0.172 0.099 S
0.852 0.672 0.599 S
0.123 0.328 0.401 S
0.898 0.828 0.901 S
0.201 0.172 0.901 S
0.476 0.672 0.401 S
0.750 0.500 0.500 Cr
0.000 0.000 0.000 Cr
0.574 0.500 0.852 Cs
0.176 0.000 0.648 Cs
0.926 0.500 0.148 Cs
0.824 0.000 0.352 Cs
0.250 0.500 0.500 Ni
0.500 0.000 0.000 Ni
```



5.
Density functional theory data (PBE-GGA) for Cs2CrNiSe4 after structural relaxation.

Computed properties:
E, eV per atom: -4.67
Space group: Fddd (70)

Structure (POSCAR):
```
Cs2CrNiSe4
1.0
-4.402 -2.993 -1.321
2.117 -6.160 -4.481
-0.548 -8.549 9.816
Cr Se Cs Ni
2 8 4 2
direct
0.000 0.000 0.000 Cr
0.750 0.500 0.500 Cr
0.547 0.323 0.603 Se
0.473 0.677 0.397 Se
0.130 0.323 0.397 Se
0.620 0.177 0.103 Se
0.203 0.177 0.897 Se
0.277 0.823 0.103 Se
0.900 0.823 0.897 Se
0.850 0.677 0.603 Se
0.928 0.500 0.145 Cs
0.178 0.000 0.645 Cs
0.572 0.500 0.855 Cs
0.822 0.000 0.355 Cs
0.250 0.500 0.500 Ni
0.500 0.000 0.000 Ni
```



6.
Density functional theory data (PBE-GGA) for CsCrNiTe3 after structural relaxation.

Computed properties:
E, eV per atom: -4.70
Space group: P2_1/m (11)

Structure (POSCAR):
```
CsCrNiTe3
1.0
3.994 0.000 0.000
0.000 9.913 -0.329
0.000 -5.002 9.504
Cr Ni Cs Te
2 2 2 6
direct
0.250 0.687 0.162 Cr
0.750 0.313 0.838 Cr
0.750 0.917 0.407 Ni
0.250 0.083 0.593 Ni
0.250 0.239 0.256 Cs
0.750 0.761 0.744 Cs
0.750 0.482 0.133 Te
0.250 0.131 0.846 Te
0.250 0.786 0.449 Te
0.750 0.214 0.551 Te
0.750 0.869 0.154 Te
0.250 0.518 0.867 Te
```



What is the E in the second record? -5.86 eV per atom



What is the E in the sixth record? -4.70 eV per atom



The highest E belongs to which entry? CsCr2NiPt